Entry 1:
# Tb5Ho3Th2, optimized geometry, DFT GGA-PBE
# Calculated volume   32.83 Å³/atom
# Energy   -198.36 eV/cell
# Formation energy   206 kJ/mol of formula units
data_Tb5Ho3Th2
_chemical_formula_sum 'Tb20 Ho12 Th8'
_space_group_name_H-M_alt 'C 1 2/c 1'
_space_group_IT_number 15
_space_group_name_Hall '-C 2yc'
_cell_length_a 10.7144
_cell_length_b 16.9966
_cell_length_c 8.9807
_cell_angle_alpha 90.00
_cell_angle_beta 126.59
_cell_angle_gamma 90.00
loop_
_atom_site_label
_atom_site_type_symbol
_atom_site_fract_x
_atom_site_fract_y
_atom_site_fract_z
Tb1 Tb 0.0000 0.0291 0.2500
Tb2 Tb 0.0000 0.2193 0.2500
Tb3 Tb 0.0000 0.2780 0.7500
Tb4 Tb 0.2481 0.1216 0.7503
Ho1 Ho 0.0000 0.4675 0.7500
Ho2 Ho 0.1460 0.1239 0.0416
Th1 Th 0.1358 0.3760 0.5217

=====

Entry 2:
# LaSi2, optimized geometry, DFT GGA-PBE
# Calculated volume   23.29 Å³/atom
# Uncorrected formation energy   -121.7 kJ/mol of formula units
# Energy   -68.14 eV/cell
data_LaSi2
_chemical_formula_sum 'La4 Si8'
_space_group_name_H-M_alt 'C m c m'
_space_group_IT_number 63
_space_group_name_Hall '-C 2c 2'
_cell_length_a 3.9021
_cell_length_b 18.6445
_cell_length_c 3.8407
_cell_angle_alpha 90.00
_cell_angle_beta 90.00
_cell_angle_gamma 90.00
loop_
_atom_site_label
_atom_site_type_symbol
_atom_site_fract_x
_atom_site_fract_y
_atom_site_fract_z
La1 La 0.0000 0.1112 0.2500
Si1 Si 0.0000 0.2566 0.7500
Si2 Si 0.0000 0.4650 0.2500

=====

Entry 3:
# Ti2ReRh9, optimized geometry, DFT GGA-PBE
# Calculated volume   14.32 Å³/atom
# Energy   -99.89 eV/cell
# Formation energy   -530 kJ/mol of formula units
data_Ti2ReRh9
_chemical_formula_sum 'Ti2 Re1 Rh9'
_space_group_name_H-M_alt 'P 4/m m m'
_space_group_IT_number 123
_space_group_name_Hall '-P 4 2'
_cell_length_a 3.8498
_cell_length_b 3.8498
_cell_length_c 11.5907
_cell_angle_alpha 90.00
_cell_angle_beta 90.00
_cell_angle_gamma 90.00
loop_
_atom_site_label
_atom_site_type_symbol
_atom_site_fract_x
_atom_site_fract_y
_atom_site_fract_z
Ti1 Ti 0.0000 0.0000 0.1603
Re1 Re 0.0000 0.0000 0.5000
Rh1 Rh 0.0000 0.5000 0.0000
Rh2 Rh 0.0000 0.5000 0.3375
Rh3 Rh 0.5000 0.5000 0.1685
Rh4 Rh 0.5000 0.5000 0.5000

=====

Entry 4:
# TlFe2Rh, optimized geometry, DFT GGA-PBE
# Calculated volume   15.25 Å³/atom
# Energy above the most stable polymorph in this dataset   0.038 eV/atom
# Energy   -25.58 eV/cell
# Formation energy   103 kJ/mol of formula units
data_TlFe2Rh
_chemical_formula_sum 'Tl1 Fe2 Rh1'
_space_group_name_H-M_alt 'P 4/m m m'
_space_group_IT_number 123
_space_group_name_Hall '-P 4 2'
_cell_length_a 3.8585
_cell_length_b 3.8585
_cell_length_c 4.0963
_cell_angle_alpha 90.00
_cell_angle_beta 90.00
_cell_angle_gamma 90.00
loop_
_atom_site_label
_atom_site_type_symbol
_atom_site_fract_x
_atom_site_fract_y
_atom_site_fract_z
Tl1 Tl 0.0000 0.0000 0.0000
Fe1 Fe 0.0000 0.5000 0.5000
Rh1 Rh 0.5000 0.5000 0.0000

=====

Entry 5:
# SrPuNi2P2, optimized geometry, DFT GGA-PBE
# Calculated volume   18.56 Å³/atom
# Energy   -43.80 eV/cell
# Formation energy   -521 kJ/mol of formula units
data_SrPuNi2P2
_chemical_formula_sum 'Sr1 Pu1 Ni2 P2'
_space_group_name_H-M_alt 'P -3 m 1'
_space_group_IT_number 164
_space_group_name_Hall '-P 3 2"'
_cell_length_a 3.9426
_cell_length_b 3.9426
_cell_length_c 8.2704
_cell_angle_alpha 90.00
_cell_angle_beta 90.00
_cell_angle_gamma 120.00
loop_
_atom_site_label
_atom_site_type_symbol
_atom_site_fract_x
_atom_site_fract_y
_atom_site_fract_z
Sr1 Sr 0.0000 0.0000 0.0000
Pu1 Pu 0.0000 0.0000 0.5000
Ni1 Ni 0.3333 0.6667 0.2735
P1 P 0.3333 0.6667 0.7284

=====

Entry 6:
# Th3Ge2Rh, optimized geometry, DFT GGA-PBE
# Calculated volume   27.14 Å³/atom
# Energy above the most stable polymorph in this dataset   0.118 eV/atom
# Energy   -85.90 eV/cell
# Formation energy   -396 kJ/mol of formula units
data_Th3Ge2Rh
_chemical_formula_sum 'Th6 Ge4 Rh2'
_space_group_name_H-M_alt 'I m m m'
_space_group_IT_number 71
_space_group_name_Hall '-I 2 2'
_cell_length_a 4.2060
_cell_length_b 6.0497
_cell_length_c 12.7997
_cell_angle_alpha 90.00
_cell_angle_beta 90.00
_cell_angle_gamma 90.00
loop_
_atom_site_label
_atom_site_type_symbol
_atom_site_fract_x
_atom_site_fract_y
_atom_site_fract_z
Th1 Th 0.0000 0.0000 0.0000
Th2 Th 0.0000 0.0000 0.3431
Ge1 Ge 0.0000 0.5000 0.3273
Rh1 Rh 0.0000 0.5000 0.0000

=====

Entry 7:
# La2PrY2Tm, optimized geometry, DFT GGA-PBE
# Calculated volume   34.74 Å³/atom
# Energy   -62.79 eV/cell
# Formation energy   62 kJ/mol of formula units
data_La2PrY2Tm
_chemical_formula_sum 'La4 Pr2 Y4 Tm2'
_space_group_name_H-M_alt 'P n n m'
_space_group_IT_number 58
_space_group_name_Hall '-P 2 2n'
_cell_length_a 6.1966
_cell_length_b 18.5864
_cell_length_c 3.6197
_cell_angle_alpha 90.00
_cell_angle_beta 90.00
_cell_angle_gamma 90.00
loop_
_atom_site_label
_atom_site_type_symbol
_atom_site_fract_x
_atom_site_fract_y
_atom_site_fract_z
La1 La 0.1635 0.1551 0.0000
Pr1 Pr 0.0000 0.5000 0.5000
Y1 Y 0.1612 0.3421 0.0000
Tm1 Tm 0.0000 0.0000 0.5000

=====

Entry 8:
# Li4GaAg3, optimized geometry, DFT GGA-PBE
# Calculated volume   17.26 Å³/atom
# Energy above the most stable polymorph in this dataset   0.120 eV/atom
# Energy   -40.28 eV/cell
# Formation energy   -87 kJ/mol of formula units
data_Li4GaAg3
_chemical_formula_sum 'Li8 Ga2 Ag6'
_space_group_name_H-M_alt 'C 1 2/m 1'
_space_group_IT_number 12
_space_group_name_Hall '-C 2y'
_cell_length_a 21.9748
_cell_length_b 2.9229
_cell_length_c 4.3793
_cell_angle_alpha 90.00
_cell_angle_beta 100.94
_cell_angle_gamma 90.00
loop_
_atom_site_label
_atom_site_type_symbol
_atom_site_fract_x
_atom_site_fract_y
_atom_site_fract_z
Li1 Li 0.1034 0.0000 0.1027
Li2 Li 0.2213 0.0000 0.2217
Ga1 Ga 0.0000 0.0000 0.5000
Ag1 Ag 0.0000 0.5000 0.0000
Ag2 Ag 0.1532 0.5000 0.6512

=====

Entry 9:
# Y2Cu4Si3Ge, optimized geometry, DFT GGA-PBE
# Calculated volume   16.25 Å³/atom
# Uncorrected formation energy   -498.3 kJ/mol of formula units
# Energy   -55.36 eV/cell
data_Y2Cu4Si3Ge
_chemical_formula_sum 'Y2 Cu4 Si3 Ge1'
_space_group_name_H-M_alt 'P -4 m 2'
_space_group_IT_number 115
_space_group_name_Hall 'P -4 -2'
_cell_length_a 4.0330
_cell_length_b 4.0330
_cell_length_c 9.9899
_cell_angle_alpha 90.00
_cell_angle_beta 90.00
_cell_angle_gamma 90.00
loop_
_atom_site_label
_atom_site_type_symbol
_atom_site_fract_x
_atom_site_fract_y
_atom_site_fract_z
Y1 Y 0.0000 0.5000 0.2437
Cu1 Cu 0.0000 0.0000 0.0000
Cu2 Cu 0.0000 0.5000 0.6379
Cu3 Cu 0.5000 0.5000 0.0000
Si1 Si 0.0000 0.5000 0.8699
Si2 Si 0.5000 0.5000 0.5000
Ge1 Ge 0.0000 0.0000 0.5000

=====

Entry 10:
# YZn3Ni2, optimized geometry, DFT GGA-PBE
# Calculated volume   16.13 Å³/atom
# Energy   -135.03 eV/cell
# Formation energy   -63 kJ/mol of formula units
data_YZn3Ni2
_chemical_formula_sum 'Y6 Zn18 Ni12'
_space_group_name_H-M_alt 'R -3 m'
_space_group_IT_number 166
_space_group_name_Hall '-R 3 2"'
_cell_length_a 5.8755
_cell_length_b 5.8755
_cell_length_c 19.4204
_cell_angle_alpha 90.00
_cell_angle_beta 90.00
_cell_angle_gamma 120.00
loop_
_atom_site_label
_atom_site_type_symbol
_atom_site_fract_x
_atom_site_fract_y
_atom_site_fract_z
Y1 Y 0.0000 0.0000 0.2228
Zn1 Zn 0.0142 0.5071 0.2371
Ni1 Ni 0.0000 0.0000 0.0000
Ni2 Ni 0.0000 0.5000 0.0000

=====

Entry 11:
# YMn2Os, optimized geometry, DFT GGA-PBE
# Calculated volume   18.12 Å³/atom
# Energy above the most stable polymorph in this dataset   0.000 eV/atom
# Energy   -106.28 eV/cell
# Formation energy   58 kJ/mol of formula units
data_YMn2Os
_chemical_formula_sum 'Y3 Mn6 Os3'
_space_group_name_H-M_alt 'R -3 m'
_space_group_IT_number 166
_space_group_name_Hall '-R 3 2"'
_cell_length_a 4.1103
_cell_length_b 4.1103
_cell_length_c 14.8637
_cell_angle_alpha 90.00
_cell_angle_beta 90.00
_cell_angle_gamma 120.00
loop_
_atom_site_label
_atom_site_type_symbol
_atom_site_fract_x
_atom_site_fract_y
_atom_site_fract_z
Y1 Y 0.0000 0.0000 0.0000
Mn1 Mn 0.0000 0.0000 0.1923
Os1 Os 0.0000 0.0000 0.5000